This record from Alexandria via LeMat-Bulk describes a geometry-optimized TlS6F2 structure. The functional is PBE.

Values from the calculation:
Formation energy (no corrections) ... -43.3 kJ per mole of atoms
Total magnetization ... 0.0 μB/cell

Unit cell a=9.872 b=11.177 c=3.961 alpha=90.00 beta=93.57 gamma=90.00
Space group C2/m (No. 12)
Inequivalent atoms, fractional coordinates:
Tl1 0.000 0.000 0.000 x2
S1 0.095 0.353 0.906 x8
S2 0.187 0.500 0.151 x4
F1 0.000 0.121 0.500 x4

---

This record from Alexandria via LeMat-Bulk describes a geometry-optimized NaLi9Tl4 structure. The functional is PBE.

Values from the calculation:
Formation energy from the elements ... -0.131 eV/atom
Total magnetization ... 0.0 μB/cell

Unit cell a=9.258 b=9.258 c=14.404 alpha=90.00 beta=90.00 gamma=90.00
Space group I4/mcm (No. 140)
Inequivalent atoms, fractional coordinates:
Na1 0.000 0.000 0.250 x4
Li1 0.000 0.500 0.000 x4
Li2 0.072 0.205 0.000 x16
Li3 0.127 0.373 0.187 x16
Tl1 0.171 0.329 0.381 x16

---

This record from Alexandria via LeMat-Bulk describes a geometry-optimized NdSi2BRu2 structure. The functional is PBE.

Values from the calculation:
Formation energy (no corrections) ... -64.4 kJ per mole of atoms
Total magnetization ... 0.0 μB/cell

Unit cell a=4.142 b=4.142 c=5.396 alpha=90.00 beta=90.00 gamma=90.00
Space group P4/mmm (No. 123)
Inequivalent atoms, fractional coordinates:
Nd1 0.000 0.000 0.000 x1
Si1 0.500 0.500 0.223 x2
B1 0.000 0.000 0.500 x1
Ru1 0.000 0.500 0.500 x2

---

This record from Alexandria via LeMat-Bulk describes a geometry-optimized AlZnCr2Cu structure. The functional is PBE.

Values from the calculation:
Formation energy from the elements ... 1.002 eV/atom
Total magnetization ... 7.3 μB/cell

Unit cell a=4.636 b=4.636 c=4.362 alpha=90.00 beta=90.00 gamma=90.00
Space group P4/mmm (No. 123)
Inequivalent atoms, fractional coordinates:
Al1 0.000 0.000 0.000 x1
Zn1 0.500 0.500 0.500 x1
Cr1 0.000 0.500 0.500 x2
Cu1 0.500 0.500 0.000 x1

---

This record from Alexandria via LeMat-Bulk describes a geometry-optimized YW3 structure. The functional is PBE.

Values from the calculation:
Formation energy from the elements ... 0.518 eV/atom
Energy relative to the lowest polymorph listed for this composition ... 0.520 eV/f.u.
Total magnetization ... 0.0 μB/cell

Unit cell a=4.665 b=4.665 c=6.625 alpha=90.00 beta=90.00 gamma=90.00
Space group I4/mmm (No. 139)
Inequivalent atoms, fractional coordinates:
Y1 0.000 0.000 0.000 x2
W1 0.000 0.000 0.500 x2
W2 0.000 0.500 0.250 x4